(1)
This record from Alexandria describes an optimized crystal structure of NdTmMgPd. The functional is PBE. Values from VASP.

Output
- DFT formation energy: -35.4 kJ/mol of atoms
- V: 24.6 A^3/atom
- Symmetry: F-43m (216)
- E_tot: -4.37 eV/atom

```
&SYSTEM
  ibrav = 0, nat = 4, ntyp = 4
/
ATOMIC_SPECIES
Nd 144.24 Nd.upf
Tm 168.93 Tm.upf
Mg 24.30 Mg.upf
Pd 106.42 Pd.upf
ATOMIC_POSITIONS angstrom
Nd 0.000 0.000 0.000
Tm 3.667 3.667 3.667
Mg 1.833 1.833 1.833
Pd 5.500 5.500 5.500
CELL_PARAMETERS angstrom
0.000 3.667 3.667
3.667 0.000 3.667
3.667 3.667 0.000
```

***

(2)
This record from Alexandria describes an optimized crystal structure of SmDyTmCd. The functional is PBE. Values from VASP.

Output
- DFT formation energy: -3.6 kJ/mol of atoms
- V: 28.7 A^3/atom
- Symmetry: F-43m (216)
- Excess energy over the best structure of this formula in the dataset: 43.2 kJ/mol of formula units
- E_tot: -3.71 eV/atom

```
&SYSTEM
  ibrav = 0, nat = 4, ntyp = 4
/
ATOMIC_SPECIES
Sm 150.36 Sm.upf
Dy 162.50 Dy.upf
Tm 168.93 Tm.upf
Cd 112.41 Cd.upf
ATOMIC_POSITIONS angstrom
Sm 0.000 0.000 0.000
Dy 3.857 3.857 3.857
Tm 5.785 5.785 5.785
Cd 1.928 1.928 1.928
CELL_PARAMETERS angstrom
0.000 3.857 3.857
3.857 0.000 3.857
3.857 3.857 0.000
```

***

(3)
This record from Alexandria describes an optimized crystal structure of Ag2Hg4SbBr5. The functional is PBE. Values from VASP.

Output
- V: 31.2 A^3/atom
- Symmetry: Amm2 (38)
- E_form (uncorrected): -0.2458 eV/atom
- E_tot: -1.86 eV/atom

```
&SYSTEM
  ibrav = 0, nat = 12, ntyp = 4
/
ATOMIC_SPECIES
Ag 107.87 Ag.upf
Hg 200.59 Hg.upf
Sb 121.76 Sb.upf
Br 79.90 Br.upf
ATOMIC_POSITIONS angstrom
Ag 0.000 -4.107 3.519
Ag 0.000 4.107 3.519
Hg 1.347 0.000 3.128
Hg 3.897 -4.877 3.520
Hg 3.897 4.877 3.520
Hg 6.448 0.000 3.128
Sb 3.897 0.000 1.916
Br 0.000 0.000 0.055
Br 2.011 -2.699 4.999
Br 2.011 2.699 4.999
Br 5.784 -2.699 4.999
Br 5.784 2.699 4.999
CELL_PARAMETERS angstrom
7.794 0.000 0.000
0.000 6.823 3.519
0.000 -6.823 3.519
```

***

(4)
This record from Alexandria describes an optimized crystal structure of Ta2AlHgB. The functional is PBE. Values from VASP.

Output
- DFT formation energy: 40.1 kJ/mol of atoms
- V: 17.0 A^3/atom
- Symmetry: P4/mmm (123)
- E_tot: -6.47 eV/atom

```
&SYSTEM
  ibrav = 0, nat = 5, ntyp = 4
/
ATOMIC_SPECIES
Ta 180.95 Ta.upf
Al 26.98 Al.upf
Hg 200.59 Hg.upf
B 10.81 B.upf
ATOMIC_POSITIONS angstrom
Ta 0.000 2.194 0.000
Ta 2.194 0.000 0.000
Al 0.000 0.000 2.213
Hg 2.194 2.194 2.213
B 2.194 2.194 0.000
CELL_PARAMETERS angstrom
4.388 0.000 0.000
0.000 4.388 0.000
0.000 0.000 4.426
```

***

(5)
This record from Alexandria describes an optimized crystal structure of Cd8Ag5Pt. The functional is PBE. Values from VASP.

Output
- DFT formation energy: -1.2 kJ/mol of atoms
- V: 20.9 A^3/atom
- Symmetry: I-4 (82)
- E_tot: -1.99 eV/atom

```
&SYSTEM
  ibrav = 0, nat = 14, ntyp = 3
/
ATOMIC_SPECIES
Cd 112.41 Cd.upf
Ag 107.87 Ag.upf
Pt 195.08 Pt.upf
ATOMIC_POSITIONS angstrom
Cd 3.514 2.661 -2.929
Cd 3.232 1.394 0.004
Cd 0.534 1.387 1.543
Cd 2.654 -0.815 4.469
Cd 1.394 4.863 -0.004
Cd 1.387 -0.534 7.402
Cd 0.815 2.654 4.476
Cd 2.661 4.582 2.929
Ag 2.393 -0.913 1.569
Ag 4.961 -1.655 2.903
Ag 5.703 0.913 1.569
Ag 0.000 0.000 4.472
Ag 3.134 1.655 2.903
Pt 0.000 4.048 2.236
CELL_PARAMETERS angstrom
-4.048 4.048 4.472
4.048 -4.048 4.472
4.048 4.048 -4.472
```

***

(6)
This record from Alexandria describes an optimized crystal structure of Ba2ReSi. The functional is PBE. Values from VASP.

Output
- V: 30.0 A^3/atom
- Symmetry: C2/m (12)
- E_form (uncorrected): 1.1439 eV/atom
- E_tot: -4.29 eV/atom

```
&SYSTEM
  ibrav = 0, nat = 4, ntyp = 3
/
ATOMIC_SPECIES
Ba 137.33 Ba.upf
Re 186.21 Re.upf
Si 28.09 Si.upf
ATOMIC_POSITIONS angstrom
Ba 1.905 0.000 2.327
Ba 5.859 0.000 6.793
Re -0.361 0.000 4.560
Si 4.242 0.000 0.000
CELL_PARAMETERS angstrom
4.242 -1.552 0.000
4.242 1.552 0.000
-0.721 0.000 9.120
```

***

(7)
This record from Alexandria describes an optimized crystal structure of SbPd4Pb. The functional is PBE. Values from VASP.

Output
- V: 19.0 A^3/atom
- Symmetry: F-43m (216)
- E_form (uncorrected): -0.0681 eV/atom
- Excess energy over the best structure of this formula in the dataset: 157.9 kJ/mol of formula units
- E_tot: -4.84 eV/atom

```
&SYSTEM
  ibrav = 0, nat = 6, ntyp = 3
/
ATOMIC_SPECIES
Sb 121.76 Sb.upf
Pd 106.42 Pd.upf
Pb 207.20 Pb.upf
ATOMIC_POSITIONS angstrom
Sb 0.000 0.000 0.000
Pd 4.812 2.883 2.883
Pd 2.883 4.812 2.883
Pd 2.883 2.883 4.812
Pd 4.812 4.812 4.812
Pb 1.924 1.924 1.924
CELL_PARAMETERS angstrom
0.000 3.848 3.848
3.848 0.000 3.848
3.848 3.848 0.000
```

***

(8)
This record from Alexandria describes an optimized crystal structure of Zr2Tl. The functional is PBE. Values from VASP.

Output
- DFT formation energy: -7.5 kJ/mol of atoms
- V: 23.0 A^3/atom
- Symmetry: Pnma (62)
- E_tot: -6.57 eV/atom

```
&SYSTEM
  ibrav = 0, nat = 12, ntyp = 2
/
ATOMIC_SPECIES
Zr 91.22 Zr.upf
Tl 204.38 Tl.upf
ATOMIC_POSITIONS angstrom
Zr 0.623 1.167 2.129
Zr 0.870 1.167 5.332
Zr 2.259 3.500 0.605
Zr 2.506 3.500 6.856
Zr 3.752 1.167 2.599
Zr 4.000 1.167 8.851
Zr 5.389 3.500 4.123
Zr 5.636 3.500 7.327
Tl 0.979 1.167 8.429
Tl 2.151 3.500 3.701
Tl 4.108 1.167 5.754
Tl 5.280 3.500 1.026
CELL_PARAMETERS angstrom
6.259 0.000 0.000
0.000 4.667 0.000
0.000 0.000 9.455
```

***

> Which of these has the highest V?

Ag2Hg4SbBr5

***

> What is the V in the eighth record?

23.0 A^3/atom

***

> Among the records above, which one has the highest E_tot?

Ag2Hg4SbBr5